## MnBe2Ag (PBE-GGA)

Data for a relaxed structure of MnBe2Ag.

## Properties
- DOS at the Fermi energy: 2.0 states/eV/cell
- Formation enthalpy at 0 K: 0.290 eV per atom
- Excess energy over the best structure of this formula in the dataset: 239.4 meV per atom

a = 8.0266 Å, b = 8.0266 Å, c = 8.0266 Å
α = 18.89°, β = 18.89°, γ = 18.89°
Last column: nearest neighbours and their distance in Å.
Element x y z (fractional)
Mn 0.0000 0.0000 0.0000  6 Be 2.36, 6 Mn 2.63
Be 0.2570 0.2570 0.2570  3 Mn 2.36, 3 Ag 2.62, 6 Be 2.63
Be 0.7430 0.7430 0.7430  3 Mn 2.36, 3 Ag 2.62, 6 Be 2.63
Ag 0.5000 0.5000 0.5000  6 Be 2.62, 6 Ag 2.63